This record from Alexandria via LeMat-Bulk describes an optimized crystal structure of Cd2Pt. The functional is PBE-GGA.

The structure in POSCAR format:
```
Cd2Pt
1.0
0.0000 3.2256 3.2256
3.2256 0.0000 3.2256
3.2256 3.2256 0.0000
Cd Pt
2 1
Cartesian
1.6128 1.6128 1.6128
4.8384 4.8384 4.8384
0.0000 0.0000 0.0000
```

Output
* ΔE_f: -0.238 eV/atom